Entry 1:
The following is a GGA-PBE calculation of an optimized crystal structure of NpFe2Pd, from Alexandria via LeMat-Bulk.

energy relative to the elements	-0.081	eV/atom
M_tot	0.482	μB per cell
symmetry	P4/mmm (123)

Cell: 4.059 4.059 3.654 Å, 90.00 90.00 90.00°
Fractional positions:
Np1 0.000 0.000 0.000
Fe1 0.000 0.500 0.500
Fe2 0.500 0.000 0.500
Pd1 0.500 0.500 0.000

=====

Entry 2:
The following is a GGA-PBE calculation of an optimized crystal structure of AlRuSe2N, from Alexandria via LeMat-Bulk.

M_tot	0.000	μB per cell
excess energy over the best structure of this formula in the dataset	0.000	eV per atom
E_form (uncorrected)	0.32	eV/atom
symmetry	P4/mmm (123)

Cell: 5.099 5.099 3.644 Å, 90.00 90.00 90.00°
Fractional positions:
Al1 0.000 0.000 0.000
Ru1 0.500 0.500 0.500
Se1 0.000 0.500 0.500
Se2 0.500 0.000 0.500
N1 0.500 0.500 0.000

=====

Entry 3:
The following is a GGA-PBE calculation of an optimized crystal structure of Ti2HWAu, from Alexandria via LeMat-Bulk.

M_tot	0.000	μB per cell
total DFT energy (no corrections)	-7.25	eV per atom
symmetry	P4/mmm (123)

Cell: 4.263 4.263 3.719 Å, 90.00 90.00 90.00°
Fractional positions:
Ti1 0.000 0.500 0.000
Ti2 0.500 0.000 0.000
H1 0.000 0.000 0.000
W1 0.000 0.000 0.500
Au1 0.500 0.500 0.500

=====

Entry 4:
The following is a GGA-PBE calculation of an optimized crystal structure of Hf2TlSn, from Alexandria via LeMat-Bulk.

energy relative to the elements	0.157	eV/atom
M_tot	0.000	μB per cell
excess energy over the best structure of this formula in the dataset	0.216	eV per atom
symmetry	I-42d (122)

Cell: 6.388 6.388 6.388 Å, 103.57 103.57 122.06°
Fractional positions:
Hf1 0.123 0.625 0.998
Hf2 0.375 0.373 0.498
Hf3 0.627 0.125 0.002
Hf4 0.875 0.877 0.502
Tl1 0.250 0.750 0.500
Tl2 0.500 0.500 0.000
Sn1 0.000 0.000 0.000
Sn2 0.750 0.250 0.500

=====

Entry 5:
The following is a GGA-PBE calculation of an optimized crystal structure of NaSnS, from Alexandria via LeMat-Bulk.

M_tot	0.000	μB per cell
excess energy over the best structure of this formula in the dataset	0.099	eV per atom
E_form (uncorrected)	-0.45	eV/atom
symmetry	I4mm (107)

Cell: 6.957 6.957 6.957 Å, 148.22 148.22 45.56°
Fractional positions:
Na1 0.000 0.000 0.000
Sn1 0.278 0.278 0.000
S1 0.464 0.464 0.000

=====

Entry 6:
The following is a GGA-PBE calculation of an optimized crystal structure of LiCe2PmTl4, from Alexandria via LeMat-Bulk.

energy relative to the elements	-0.271	eV/atom
M_tot	1.989	μB per cell
symmetry	R-3m (166)

Cell: 9.582 9.582 9.582 Å, 32.42 32.42 32.42°
Fractional positions:
Li1 0.000 0.000 0.000
Ce1 0.255 0.255 0.255
Ce2 0.745 0.745 0.745
Pm1 0.500 0.500 0.500
Tl1 0.123 0.123 0.123
Tl2 0.373 0.373 0.373
Tl3 0.627 0.627 0.627
Tl4 0.877 0.877 0.877

=====

| no. | calculated volume (A^3/atom) | density of states at the Fermi level (states/eV/atom) |
| --- | --- | --- |
| 1 | 15.1 | 0.819 |
| 2 | 18.9 | 1.206 |
| 3 | 13.5 | 0.778 |
| 4 | 24.2 | 0.493 |
| 5 | 31.0 | 0.436 |
| 6 | 28.1 | 2.041 |